Entry 1:
The following is a DFT calculation (GGA-PBE) of a geometry-optimized Nd7Ga2Hg2 structure.

It has space group Cmmm (No. 65), with a = 7.744 Å, b = 10.986 Å, c = 8.133 Å, α = 90.00°, β = 90.00° and γ = 90.00°. The distinct sites, in fractional coordinates, are Nd at (0.000, 0.000, 0.000), Nd at (0.000, 0.500, 0.279), Nd at (0.250, 0.250, 0.297), Ga at (0.165, 0.000, 0.500) and Hg at (0.000, 0.294, 0.000).

Entry 2:
The following is a DFT calculation (GGA-PBE) of a geometry-optimized Nd2GaHg structure.

It has space group R-3m (No. 166, hexagonal axes), with a = 3.8493 Å, b = 3.8493 Å, c = 27.4444 Å, α = 90.00°, β = 90.00° and γ = 120.00°. The distinct sites, in fractional coordinates, are Nd at (0.0000, 0.0000, 0.2451), Ga at (0.0000, 0.0000, 0.5000) and Hg at (0.0000, 0.0000, 0.0000).

Entry 3:
The following is a DFT calculation (GGA-PBE) of a geometry-optimized Nd3Ga3Hg2 structure.

It has space group Cmcm (No. 63), with a = 4.596 Å, b = 11.295 Å, c = 15.159 Å, α = 90.00°, β = 90.00° and γ = 90.00°. The distinct sites, in fractional coordinates, are Nd at (0.000, 0.081, 0.113), Nd at (0.000, 0.353, 0.250), Ga at (0.000, 0.361, 0.750), Ga at (0.000, 0.401, 0.044) and Hg at (0.000, 0.213, 0.595).

Entry 4:
The following is a DFT calculation (GGA-PBE) of a geometry-optimized Nd2Ga2Hg structure.

It has space group C2/m (No. 12), with a = 11.199 Å, b = 4.611 Å, c = 10.942 Å, α = 90.00°, β = 117.80° and γ = 90.00°. The distinct sites, in fractional coordinates, are Nd at (0.009, 0.000, 0.325), Nd at (0.182, 0.000, 0.096), Ga at (0.026, 0.500, 0.891), Ga at (0.131, 0.500, 0.563) and Hg at (0.223, 0.500, 0.345).

Entry 5:
The following is a DFT calculation (GGA-PBE) of a geometry-optimized Nd5Ga2Hg2 structure.

It has space group Cmce (No. 64), with a = 16.695 Å, b = 7.951 Å, c = 7.842 Å, α = 90.00°, β = 90.00° and γ = 90.00°. The distinct sites, in fractional coordinates, are Nd at (0.000, 0.000, 0.000), Nd at (0.133, 0.186, 0.323), Ga at (0.000, 0.116, 0.616) and Hg at (0.217, 0.000, 0.000).

Entry 6:
The following is a DFT calculation (GGA-PBE) of a geometry-optimized Nd2GaHg3 structure.

The calculation puts the distance to the lowest polymorph of the same formula at 100 meV per atom.

It has space group Imm2 (No. 44), with a = 4.174 Å, b = 4.527 Å, c = 17.092 Å, α = 90.00°, β = 90.00° and γ = 90.00°. The distinct sites, in fractional coordinates, are Nd at (0.000, 0.000, 0.000), Nd at (0.000, 0.500, 0.276), Ga at (0.000, 0.000, 0.435), Hg at (0.000, 0.000, 0.589), Hg at (0.000, 0.500, 0.683) and Hg at (0.000, 0.500, 0.847).

For each record above, in turn, the calculated VASP energy values are -3.77; -3.57; -3.54; -3.74; -3.85; -2.61 eV per atom.
For each record above, in turn, the calculated D(E_F) values are 1.270; 1.076; 0.649; 0.674; 0.935; 0.838 states/eV per atom.
For each record above, in turn, the calculated calculated formation energy values are -0.126; -0.358; -0.541; -0.557; -0.464; -0.367 eV/atom.